Entry from the Alexandria database: a relaxed Zr2PtAu crystal (PBE-GGA). Values from VASP.

Geometry as Quantum ESPRESSO input:
```
&SYSTEM
  ibrav = 0, nat = 4, ntyp = 3
/
ATOMIC_SPECIES
Zr 91.22 Zr.upf
Au 196.97 Au.upf
Pt 195.08 Pt.upf
CELL_PARAMETERS angstrom
4.7309 0.0000 0.0000
2.3654 4.0970 0.0000
2.3654 1.3657 3.8627
ATOMIC_POSITIONS angstrom
Zr 0.0000 0.0000 0.0000
Zr 2.3654 1.3657 0.9657
Au 4.7309 2.7314 1.9314
Pt 7.0963 4.0970 2.8970
```

## Properties
As for the total energy: -28.37 eV per cell. The calculation puts the spin magnetization at 1.05 μB per formula unit. The value obtained for the calculated formation energy is -2.0 eV/f.u.